K3Ni2F9 GGA+U optimized geometry; total magnetization = 2.000 μB/f.u.
1.0
5.6902 0.0000 0.0000
-2.8451 4.9278 0.0000
0.0000 0.0000 7.2743
F K Ni
9 3 2
direct
0.5000 0.0000 0.0000 F
0.3565 0.1782 0.2995 F
0.6435 0.8218 0.7005 F
0.1782 0.3565 0.7005 F
0.0000 0.5000 0.0000 F
0.1782 0.8218 0.7005 F
0.8218 0.1782 0.2995 F
0.5000 0.5000 0.0000 F
0.8218 0.6435 0.2995 F
0.3333 0.6667 0.3675 K
0.0000 0.0000 0.0000 K
0.6667 0.3333 0.6325 K
0.3333 0.6667 0.8468 Ni
0.6667 0.3333 0.1532 Ni

K2NiF8 GGA+U optimized geometry; total magnetization = 0.000 μB/f.u.
1.0
-5.9864 0.9047 -3.2739
-2.4778 -4.9720 -2.0833
-4.6879 -2.4997 2.6411
F K Ni
8 2 1
direct
0.9281 0.6882 0.1262 F
0.7165 0.1496 0.1496 F
0.3850 0.5159 0.5159 F
0.0719 0.3118 0.8738 F
0.0719 0.8738 0.3118 F
0.6150 0.4841 0.4841 F
0.2835 0.8504 0.8504 F
0.9281 0.1262 0.6882 F
0.7379 0.7539 0.7539 K
0.2621 0.2461 0.2461 K
0.0000 0.0000 0.0000 Ni

KNiF GGA+U optimized geometry; total magnetization = 1.000 μB/f.u.
1.0
3.6004 0.0001 0.0004
1.7998 6.7785 0.3691
-0.0003 2.1715 5.3432
F K Ni
2 2 2
direct
0.7840 0.3677 0.5254 F
0.6929 0.5502 0.9340 F
0.3251 0.2855 0.2498 K
0.1519 0.6322 0.5761 K
0.9241 0.0874 0.8514 Ni
0.5526 0.8298 0.9802 Ni

KNi2F6 GGA+U optimized geometry; total magnetization = 2.999 μB/f.u.
1.0
-5.1707 -2.4760 0.0909
0.7274 -1.6990 -4.9050
1.4941 -2.9713 4.0514
F Ni K
6 2 1
direct
0.6887 0.6241 0.6241 F
0.6887 0.0000 0.3759 F
0.3113 0.3759 0.3759 F
0.6887 0.3759 0.0000 F
0.3113 0.6241 0.0000 F
0.3113 0.0000 0.6241 F
0.5000 0.6667 0.3333 Ni
0.5000 0.3333 0.6667 Ni
0.0000 0.0000 0.0000 K

KNi2F8 GGA+U optimized geometry; total magnetization = 5.418 μB/f.u.
1.0
3.8439 -0.0017 -0.0006
-0.0028 6.3090 -3.6451
-0.0004 -0.0015 7.2918
F Ni K
8 2 1
direct
0.2851 0.1941 0.8092 F
0.7149 0.8059 0.1908 F
0.2857 0.6152 0.8060 F
0.2850 0.1907 0.3850 F
0.7852 0.3333 0.6667 F
0.7150 0.8093 0.6149 F
0.7143 0.3848 0.1940 F
0.2148 0.6667 0.3333 F
0.2845 0.3333 0.6667 Ni
0.7155 0.6667 0.3333 Ni
0.0000 0.0000 0.0000 K

KNiF GGA+U optimized geometry; total magnetization = 1.039 μB/f.u.
1.0
3.6240 -0.3657 0.0463
0.8553 8.1705 -0.9109
-0.0046 0.3985 3.5554
Ni F K
2 2 2
direct
0.8003 0.9076 0.1039 Ni
0.2999 0.0101 0.6038 Ni
0.8011 0.6307 0.1024 F
0.2990 0.2870 0.6021 F
0.7991 0.2938 0.1022 K
0.3010 0.6238 0.6025 K

K6NiF12 GGA+U optimized geometry; total magnetization = 2.000 μB/f.u.
1.0
7.1562 0.0190 -1.0815
-1.2601 7.0444 -1.0815
0.0159 0.0190 7.2374
F K Ni
12 6 1
direct
0.1479 0.4746 0.5848 F
0.8521 0.5254 0.4152 F
0.5254 0.4152 0.8521 F
0.7499 0.9462 0.0118 F
0.5848 0.1479 0.4746 F
0.9462 0.0118 0.7499 F
0.9882 0.2501 0.0538 F
0.0538 0.9882 0.2501 F
0.2501 0.0538 0.9882 F
0.4746 0.5848 0.1479 F
0.0118 0.7499 0.9462 F
0.4152 0.8521 0.5254 F
0.1571 0.6066 0.2696 K
0.7304 0.8429 0.3934 K
0.8429 0.3934 0.7304 K
0.3934 0.7304 0.8429 K
0.6066 0.2696 0.1571 K
0.2696 0.1571 0.6066 K
0.0000 0.0000 0.0000 Ni

K3NiF8 GGA+U optimized geometry; total magnetization = 5.004 μB/f.u.
1.0
5.8876 0.0000 0.0000
0.0000 5.8876 0.0000
-2.9438 -2.9438 5.7680
F K Ni
8 3 1
direct
0.3055 0.3055 0.2068 F
0.6945 0.0987 0.7932 F
0.6945 0.6945 0.7932 F
0.9013 0.3055 0.2068 F
0.9013 0.9013 0.2068 F
0.0987 0.0987 0.7932 F
0.0987 0.6945 0.7932 F
0.3055 0.9013 0.2068 F
0.5000 0.5000 0.0000 K
0.2500 0.7500 0.5000 K
0.7500 0.2500 0.5000 K
0.0000 0.0000 0.0000 Ni

K3Ni2F7 GGA+U optimized geometry; total magnetization = 4.000 μB/f.u.
1.0
-2.4201 -3.0423 1.1937
-0.8613 -0.8391 -3.8848
9.9048 -4.7761 0.9682
K Ni F
3 2 7
direct
0.5000 0.5000 0.0000 K
0.6856 0.6856 0.3705 K
0.3144 0.3144 0.6295 K
0.9032 0.9032 0.8075 Ni
0.0968 0.0968 0.1925 Ni
0.0955 0.5956 0.1904 F
0.1915 0.1915 0.3819 F
0.9045 0.4044 0.8096 F
0.0000 0.0000 0.0000 F
0.5956 0.0955 0.1904 F
0.4044 0.9045 0.8096 F
0.8085 0.8085 0.6181 F

K2Ni2F GGA+U optimized geometry; total magnetization = 2.356 μB/f.u.
1.0
6.4072 0.0000 0.0000
0.0000 6.4072 0.0000
3.2036 3.2036 3.1845
K F Ni
2 1 2
direct
0.7500 0.2500 0.5000 K
0.2500 0.7500 0.5000 K
0.0000 0.0000 0.0000 F
0.6696 0.6696 0.6607 Ni
0.3304 0.3304 0.3393 Ni

KNiF GGA+U optimized geometry; total magnetization = 1.087 μB/f.u.
1.0
-7.1733 2.3155 10.0261
1.3021 -5.5140 2.2050
2.6485 1.2662 1.6024
Ni F K
4 4 4
direct
0.8737 0.2500 0.0005 Ni
0.1263 0.7500 0.9995 Ni
0.3737 0.2500 0.4995 Ni
0.6263 0.7500 0.5005 Ni
0.0000 0.5000 0.0000 F
0.5000 0.0000 0.5000 F
0.5000 0.5000 0.5000 F
0.0000 0.0000 0.0000 F
0.8929 0.7500 0.5000 K
0.6071 0.2500 0.0000 K
0.1071 0.2500 0.5000 K
0.3929 0.7500 0.0000 K

K3Ni5F12 GGA+U optimized geometry; total magnetization = 9.000 μB/f.u.
1.0
-5.4858 6.6430 -7.6850
6.8681 -7.4369 -5.5502
-7.7441 -5.8464 6.2555
F Ni K
48 20 12
direct
0.9086 0.8227 0.5120 F
0.3107 0.4141 0.8227 F
0.9086 0.0859 0.8966 F
0.8107 0.4880 0.3966 F
0.4141 0.3107 0.3227 F
0.0914 0.9141 0.1034 F
0.0914 0.1773 0.4880 F
0.5914 0.9880 0.6773 F
0.0859 0.9086 0.3966 F
0.8966 0.5859 0.9086 F
0.1893 0.6773 0.0859 F
0.0120 0.4086 0.8227 F
0.4141 0.1034 0.5914 F
0.3227 0.8107 0.4141 F
0.3227 0.5120 0.4086 F
0.3966 0.4086 0.0859 F
0.4086 0.0120 0.3227 F
0.3966 0.9880 0.8107 F
0.1034 0.6893 0.5120 F
0.5120 0.1893 0.1034 F
0.4086 0.3966 0.5859 F
0.9141 0.8227 0.8107 F
0.6893 0.1034 0.0120 F
0.5859 0.8966 0.4086 F
0.1773 0.0914 0.9880 F
0.6893 0.5859 0.1773 F
0.8227 0.9141 0.3107 F
0.1773 0.0859 0.6893 F
0.5859 0.6893 0.6773 F
0.1893 0.5120 0.6034 F
0.5120 0.3227 0.9086 F
0.6773 0.1893 0.5859 F
0.6034 0.0120 0.1893 F
0.1034 0.4141 0.0914 F
0.8966 0.3107 0.4880 F
0.6034 0.5914 0.9141 F
0.4880 0.6773 0.0914 F
0.9880 0.3966 0.3107 F
0.0859 0.1773 0.1893 F
0.4880 0.8107 0.8966 F
0.3107 0.8966 0.9880 F
0.9141 0.0914 0.6034 F
0.0120 0.6034 0.6893 F
0.8107 0.3227 0.9141 F
0.9880 0.5914 0.1773 F
0.6773 0.4880 0.5914 F
0.5914 0.6034 0.4141 F
0.8227 0.9086 0.0120 F
0.5000 0.0000 0.0000 Ni
0.2500 0.3750 0.6250 Ni
0.3750 0.2500 0.1250 Ni
0.3750 0.1250 0.7500 Ni
0.1250 0.7500 0.3750 Ni
0.7500 0.1250 0.8750 Ni
0.0000 0.5000 0.5000 Ni
0.8750 0.6250 0.7500 Ni
0.1250 0.3750 0.2500 Ni
0.5000 0.5000 0.5000 Ni
0.8750 0.2500 0.6250 Ni
0.6250 0.8750 0.2500 Ni
0.0000 0.0000 0.0000 Ni
0.5000 0.5000 0.0000 Ni
0.2500 0.8750 0.1250 Ni
0.6250 0.7500 0.8750 Ni
0.5000 0.0000 0.5000 Ni
0.0000 0.0000 0.5000 Ni
0.0000 0.5000 0.0000 Ni
0.7500 0.6250 0.3750 Ni
0.2500 0.6250 0.8750 K
0.7500 0.3750 0.1250 K
0.8750 0.1250 0.2500 K
0.6250 0.2500 0.3750 K
0.3750 0.7500 0.6250 K
0.8750 0.7500 0.1250 K
0.3750 0.6250 0.2500 K
0.7500 0.8750 0.6250 K
0.1250 0.2500 0.8750 K
0.1250 0.8750 0.7500 K
0.6250 0.3750 0.7500 K
0.2500 0.1250 0.3750 K

K2Ni2F GGA+U optimized geometry; total magnetization = 2.157 μB/f.u.
1.0
8.4504 0.0000 0.0000
0.0000 8.4504 0.0000
0.0000 0.0000 3.8009
K Ni F
4 4 2
direct
0.2987 0.2013 0.5000 K
0.7987 0.2987 0.5000 K
0.7013 0.7987 0.5000 K
0.2013 0.7013 0.5000 K
0.4091 0.9091 0.0000 Ni
0.0909 0.4091 0.0000 Ni
0.9091 0.5909 0.0000 Ni
0.5909 0.0909 0.0000 Ni
0.5000 0.5000 0.0000 F
0.0000 0.0000 0.0000 F

KNi3F GGA+U optimized geometry; total magnetization = 2.720 μB/f.u.
1.0
-2.8789 -0.9009 3.3448
-0.2265 -4.2909 -1.3507
3.4566 -1.0315 2.6973
K Ni F
1 3 1
direct
0.5000 0.5000 0.5000 K
0.0000 0.0000 0.5000 Ni
0.5000 0.0000 0.0000 Ni
0.0000 0.5000 0.0000 Ni
0.0000 0.0000 0.0000 F

KNiF GGA+U optimized geometry; total magnetization = 1.025 μB/f.u.
1.0
-1.3199 0.7290 2.9069
-1.3060 -3.2980 0.2340
7.4011 -2.4220 5.8279
K Ni F
2 2 2
direct
0.2055 0.3756 0.2556 K
0.0348 0.8815 0.5928 K
0.8460 0.8880 0.9666 Ni
0.3831 0.3866 0.8940 Ni
0.6528 0.8777 0.3605 F
0.4889 0.3836 0.6834 F

KNiF GGA+U optimized geometry; total magnetization = 0.836 μB/f.u.
1.0
8.7657 0.0000 0.0000
0.0000 5.2759 0.0000
0.0000 0.0000 5.2758
F K Ni
4 4 4
direct
0.5000 0.2500 0.2499 F
0.0000 0.7500 0.7499 F
0.0000 0.2500 0.2501 F
0.5000 0.7500 0.7501 F
0.5001 0.7500 0.2501 K
0.9999 0.2500 0.7501 K
0.0001 0.7500 0.2499 K
0.4999 0.2500 0.7499 K
0.2500 0.2500 0.2500 Ni
0.7500 0.2500 0.2500 Ni
0.7500 0.7500 0.7500 Ni
0.2500 0.7500 0.7500 Ni

K3NiF8 GGA+U optimized geometry; total magnetization = 5.022 μB/f.u.
1.0
6.5657 0.0000 0.0000
-3.2829 4.4388 3.2829
0.0000 0.0000 6.5657
K F Ni
3 8 1
direct
0.2500 0.5000 0.2500 K
0.7500 0.5000 0.7500 K
0.5000 0.0000 0.5000 K
0.2472 0.0642 0.7528 F
0.7528 0.9358 0.8170 F
0.9005 0.5715 0.0995 F
0.1830 0.9358 0.2472 F
0.8170 0.0642 0.1830 F
0.0995 0.4285 0.6710 F
0.6710 0.5715 0.3290 F
0.3290 0.4285 0.9005 F
0.0000 0.0000 0.0000 Ni

KNiF GGA+U optimized geometry; total magnetization = 1.000 μB/f.u.
1.0
4.1898 0.0000 0.0000
0.0000 5.4147 0.0000
0.0000 0.0000 12.6259
Ni F K
4 4 4
direct
0.8018 0.7500 0.7032 Ni
0.1982 0.2500 0.2968 Ni
0.6982 0.2500 0.2032 Ni
0.3018 0.7500 0.7968 Ni
0.7329 0.2500 0.0431 F
0.2329 0.2500 0.4569 F
0.2671 0.7500 0.9569 F
0.7671 0.7500 0.5431 F
0.2330 0.2500 0.9270 K
0.2670 0.7500 0.4270 K
0.7670 0.7500 0.0730 K
0.7330 0.2500 0.5730 K

KNi3F GGA+U optimized geometry; total magnetization = 3.553 μB/f.u.
1.0
5.2659 0.0000 0.0000
0.0000 5.2659 0.0000
0.0000 0.0000 5.2659
K Ni F
1 3 1
direct
0.0000 0.0000 0.0000 K
0.0000 0.5000 0.0000 Ni
0.0000 0.0000 0.5000 Ni
0.5000 0.0000 0.0000 Ni
0.5000 0.5000 0.5000 F

Number 1: uncorrected energy -56.2 eV per cell. Number 2: uncorrected energy -38.8 eV per cell. Number 3: uncorrected energy -17.9 eV per cell. Number 4: uncorrected energy -36.6 eV per cell. Number 5: uncorrected energy -39.5 eV per cell. Number 6: uncorrected energy -18.4 eV per cell. Number 7: uncorrected energy -72.6 eV per cell. Number 8: uncorrected energy -43.5 eV per cell. Number 9: uncorrected energy -51.9 eV per cell. Number 10: uncorrected energy -8.2 eV per cell. Number 11: uncorrected energy -32.6 eV per cell. Number 12: uncorrected energy -319.7 eV per cell. Number 13: uncorrected energy -15.3 eV per cell. Number 14: uncorrected energy -8.5 eV per cell. Number 15: uncorrected energy -18.6 eV per cell. Number 16: uncorrected energy -32.9 eV per cell. Number 17: uncorrected energy -43.2 eV per cell. Number 18: uncorrected energy -35.5 eV per cell. Number 19: uncorrected energy -2.8 eV per cell.